Entry 1:
Tl2PRu | PBE | optimized geometry

Values from the calculation:
The energy relative to the lowest polymorph listed for this composition comes out at 48 meV per atom. For the formation energy from the elements, the calculation gives 0.0366 eV per atom. The total energy comes out at -4.82 eV/atom. The value obtained for the density of states at the Fermi level is 2.4 states/eV/cell.

Structure (CIF):
```
data_Tl2PRu
_space_group_name_H-M_alt 'P 1'
_space_group_IT_number 1
_cell_length_a 9.178
_cell_length_b 9.178
_cell_length_c 9.178
_cell_angle_alpha 21.35
_cell_angle_beta 21.35
_cell_angle_gamma 21.35
loop_
_space_group_symop_operation_xyz
'x,y,z'
loop_
_atom_site_label
_atom_site_fract_x
_atom_site_fract_y
_atom_site_fract_z
Tl1 0.984 0.984 0.984
Tl2 0.758 0.758 0.758
P1 0.524 0.524 0.524
Ru1 0.234 0.234 0.234
```

Entry 2:
Tl2PRu | PBE | optimized geometry

Values from the calculation:
The energy relative to the lowest polymorph listed for this composition comes out at 755 meV per atom. For the formation energy from the elements, the calculation gives 0.7440 eV per atom. The total energy comes out at -4.11 eV/atom. The value obtained for the density of states at the Fermi level is 5.1 states/eV/cell.

Structure (CIF):
```
data_Tl2PRu
_space_group_name_H-M_alt 'P 1'
_space_group_IT_number 1
_cell_length_a 5.290
_cell_length_b 5.290
_cell_length_c 5.290
_cell_angle_alpha 132.32
_cell_angle_beta 132.32
_cell_angle_gamma 69.72
loop_
_space_group_symop_operation_xyz
'x,y,z'
loop_
_atom_site_label
_atom_site_fract_x
_atom_site_fract_y
_atom_site_fract_z
Tl1 0.250 0.750 0.500
Tl2 0.000 0.000 0.000
Ru1 0.750 0.250 0.500
P1 0.500 0.500 0.000
```

Entry 3:
Tl2PRuW | PBE | optimized geometry

Values from the calculation:
For the formation energy from the elements, the calculation gives 1.4982 eV per atom. The total energy comes out at -4.98 eV/atom. The value obtained for the density of states at the Fermi level is 4.3 states/eV/cell.

Structure (CIF):
```
data_Tl2PRuW
_space_group_name_H-M_alt 'P 1'
_space_group_IT_number 1
_cell_length_a 5.160
_cell_length_b 4.327
_cell_length_c 5.160
_cell_angle_alpha 90.00
_cell_angle_beta 90.00
_cell_angle_gamma 90.00
loop_
_space_group_symop_operation_xyz
'x,y,z'
loop_
_atom_site_label
_atom_site_fract_x
_atom_site_fract_y
_atom_site_fract_z
Tl1 0.500 0.000 0.000
Tl2 0.000 0.000 0.500
P1 0.000 0.000 0.000
Ru1 0.000 0.500 0.000
W1 0.500 0.500 0.500
```

Entry 4:
TmP3Ru5 | PBE | optimized geometry

Values from the calculation:
For the formation energy from the elements, the calculation gives -0.5270 eV per atom. The total energy comes out at -7.98 eV/atom. The value obtained for the density of states at the Fermi level is 11.9 states/eV/cell.

Structure (CIF):
```
data_TmP3Ru5
_space_group_name_H-M_alt 'P 1'
_space_group_IT_number 1
_cell_length_a 3.849
_cell_length_b 6.382
_cell_length_c 11.985
_cell_angle_alpha 90.00
_cell_angle_beta 90.00
_cell_angle_gamma 107.55
loop_
_space_group_symop_operation_xyz
'x,y,z'
loop_
_atom_site_label
_atom_site_fract_x
_atom_site_fract_y
_atom_site_fract_z
Ru1 0.000 0.000 0.500
Ru2 0.556 0.111 0.648
Tm1 0.167 0.334 0.250
P1 0.387 0.774 0.952
Ru3 0.793 0.587 0.424
Tm2 0.833 0.666 0.750
Ru4 0.207 0.413 0.924
Ru5 0.207 0.413 0.576
P2 0.132 0.264 0.750
Ru6 0.556 0.111 0.852
P3 0.613 0.226 0.452
Ru7 0.000 0.000 0.000
Ru8 0.793 0.587 0.076
P4 0.387 0.774 0.548
P5 0.868 0.736 0.250
Ru9 0.444 0.889 0.148
P6 0.613 0.226 0.048
Ru10 0.444 0.889 0.352
```

Entry 5:
Tm2P7Ru12 | PBE | optimized geometry

Values from the calculation:
For the formation energy from the elements, the calculation gives -0.7553 eV per atom. The total energy comes out at -8.28 eV/atom. The value obtained for the density of states at the Fermi level is 11.9 states/eV/cell.

Structure (CIF):
```
data_Tm2P7Ru12
_space_group_name_H-M_alt 'P 1'
_space_group_IT_number 1
_cell_length_a 3.940
_cell_length_b 9.397
_cell_length_c 9.397
_cell_angle_alpha 120.00
_cell_angle_beta 90.00
_cell_angle_gamma 90.00
loop_
_space_group_symop_operation_xyz
'x,y,z'
loop_
_atom_site_label
_atom_site_fract_x
_atom_site_fract_y
_atom_site_fract_z
Ru1 0.000 0.974 0.241
Ru2 0.000 0.266 0.026
P1 0.500 0.933 0.384
Ru3 0.000 0.442 0.503
P2 0.500 0.616 0.549
Ru4 0.500 0.385 0.274
Ru5 0.000 0.061 0.558
P3 0.000 0.024 0.782
Ru6 0.500 0.542 0.753
Tm1 0.000 0.667 0.333
Ru7 0.500 0.247 0.789
Ru8 0.500 0.889 0.615
Ru9 0.500 0.726 0.111
Ru10 0.500 0.211 0.458
P4 0.000 0.758 0.976
Tm2 0.500 0.000 0.000
Ru11 0.000 0.497 0.939
P5 0.000 0.333 0.667
Ru12 0.000 0.759 0.734
P6 0.500 0.451 0.067
P7 0.000 0.218 0.242
```

Entry 6:
TmP2Ru | PBE | optimized geometry

Values from the calculation:
For the formation energy from the elements, the calculation gives -0.8872 eV per atom. The total energy comes out at -7.03 eV/atom. The value obtained for the density of states at the Fermi level is 3.6 states/eV/cell.

Structure (CIF):
```
data_TmP2Ru
_space_group_name_H-M_alt 'P 1'
_space_group_IT_number 1
_cell_length_a 3.809
_cell_length_b 3.809
_cell_length_c 5.838
_cell_angle_alpha 70.96
_cell_angle_beta 70.96
_cell_angle_gamma 60.00
loop_
_space_group_symop_operation_xyz
'x,y,z'
loop_
_atom_site_label
_atom_site_fract_x
_atom_site_fract_y
_atom_site_fract_z
Tm1 0.500 0.500 0.500
Ru1 0.000 0.000 0.000
P1 0.269 0.269 0.194
P2 0.731 0.731 0.806
```

Entry 7:
Tm2P4Ru5 | PBE | optimized geometry

Values from the calculation:
For the formation energy from the elements, the calculation gives -0.7575 eV per atom. The total energy comes out at -7.75 eV/atom. The value obtained for the density of states at the Fermi level is 6.4 states/eV/cell.

Structure (CIF):
```
data_Tm2P4Ru5
_space_group_name_H-M_alt 'P 1'
_space_group_IT_number 1
_cell_length_a 5.561
_cell_length_b 5.534
_cell_length_c 7.293
_cell_angle_alpha 78.96
_cell_angle_beta 67.59
_cell_angle_gamma 59.84
loop_
_space_group_symop_operation_xyz
'x,y,z'
loop_
_atom_site_label
_atom_site_fract_x
_atom_site_fract_y
_atom_site_fract_z
Tm1 0.126 0.000 0.747
Ru1 0.500 0.000 0.000
P1 0.525 0.688 0.262
Ru2 0.750 0.500 0.500
Ru3 0.250 0.500 0.500
P2 0.213 0.312 0.262
P3 0.475 0.312 0.738
Ru4 0.500 0.500 0.000
P4 0.787 0.688 0.738
Tm2 0.874 0.000 0.253
Ru5 0.000 0.500 0.000
```

Entry 8:
TmP12Ru4 | PBE | optimized geometry

Values from the calculation:
For the formation energy from the elements, the calculation gives -0.6178 eV per atom. The total energy comes out at -6.88 eV/atom. The value obtained for the density of states at the Fermi level is 3.9 states/eV/cell.

Structure (CIF):
```
data_TmP12Ru4
_space_group_name_H-M_alt 'P 1'
_space_group_IT_number 1
_cell_length_a 6.989
_cell_length_b 6.989
_cell_length_c 6.989
_cell_angle_alpha 109.47
_cell_angle_beta 109.47
_cell_angle_gamma 109.47
loop_
_space_group_symop_operation_xyz
'x,y,z'
loop_
_atom_site_label
_atom_site_fract_x
_atom_site_fract_y
_atom_site_fract_z
P1 0.643 0.501 0.858
P2 0.786 0.142 0.643
P3 0.499 0.142 0.357
P4 0.858 0.357 0.214
P5 0.142 0.643 0.786
P6 0.142 0.357 0.499
Ru1 0.500 0.500 0.500
P7 0.214 0.858 0.357
Ru2 0.000 0.000 0.500
P8 0.858 0.643 0.501
Tm1 0.000 0.000 0.000
P9 0.357 0.214 0.858
Ru3 0.000 0.500 0.000
P10 0.501 0.858 0.643
P11 0.643 0.786 0.142
P12 0.357 0.499 0.142
Ru4 0.500 0.000 0.000
```

Entry 9:
Tm2PRu | PBE | optimized geometry

Values from the calculation:
For the formation energy from the elements, the calculation gives -0.7924 eV per atom. The total energy comes out at -6.70 eV/atom. The value obtained for the density of states at the Fermi level is 2.6 states/eV/cell.

Structure (CIF):
```
data_Tm2PRu
_space_group_name_H-M_alt 'P 1'
_space_group_IT_number 1
_cell_length_a 3.478
_cell_length_b 3.478
_cell_length_c 6.381
_cell_angle_alpha 90.00
_cell_angle_beta 90.00
_cell_angle_gamma 90.00
loop_
_space_group_symop_operation_xyz
'x,y,z'
loop_
_atom_site_label
_atom_site_fract_x
_atom_site_fract_y
_atom_site_fract_z
Tm1 0.000 0.000 0.746
Tm2 0.000 0.000 0.254
P1 0.500 0.500 0.500
Ru1 0.500 0.500 0.000
```

Entry 10:
TmP3Ru3 | PBE | optimized geometry

Values from the calculation:
For the formation energy from the elements, the calculation gives -0.7452 eV per atom. The total energy comes out at -7.68 eV/atom. The value obtained for the density of states at the Fermi level is 7.0 states/eV/cell.

Structure (CIF):
```
data_TmP3Ru3
_space_group_name_H-M_alt 'P 1'
_space_group_IT_number 1
_cell_length_a 6.663
_cell_length_b 6.663
_cell_length_c 7.497
_cell_angle_alpha 63.62
_cell_angle_beta 63.62
_cell_angle_gamma 60.00
loop_
_space_group_symop_operation_xyz
'x,y,z'
loop_
_atom_site_label
_atom_site_fract_x
_atom_site_fract_y
_atom_site_fract_z
P1 0.403 0.094 0.728
P2 0.597 0.906 0.272
Ru1 0.775 0.115 0.642
P3 0.226 0.597 0.272
P4 0.906 0.226 0.272
Tm1 0.667 0.667 0.999
Tm2 0.333 0.333 0.001
Ru2 0.115 0.468 0.642
P5 0.774 0.403 0.728
Ru3 0.225 0.885 0.358
Ru4 0.532 0.225 0.358
Ru5 0.885 0.532 0.358
Ru6 0.468 0.775 0.642
P6 0.094 0.774 0.728
```

Entry 11:
U4P6Ru5 | PBE | optimized geometry

Values from the calculation:
For the formation energy from the elements, the calculation gives -0.7305 eV per atom. The total energy comes out at -9.00 eV/atom. The value obtained for the density of states at the Fermi level is 45.9 states/eV/cell.

Structure (CIF):
```
data_U4P6Ru5
_space_group_name_H-M_alt 'P 1'
_space_group_IT_number 1
_cell_length_a 3.950
_cell_length_b 9.323
_cell_length_c 14.331
_cell_angle_alpha 90.00
_cell_angle_beta 90.00
_cell_angle_gamma 102.23
loop_
_space_group_symop_operation_xyz
'x,y,z'
loop_
_atom_site_label
_atom_site_fract_x
_atom_site_fract_y
_atom_site_fract_z
U1 0.973 0.946 0.272
P1 0.118 0.237 0.120
P2 0.788 0.576 0.993
Ru1 0.341 0.683 0.269
U2 0.814 0.628 0.445
Ru2 0.142 0.285 0.629
Ru3 0.359 0.718 0.989
P3 0.586 0.172 0.905
P4 0.212 0.424 0.493
Ru4 0.302 0.603 0.616
P5 0.882 0.763 0.620
Ru5 0.551 0.102 0.178
U3 0.008 0.017 0.496
P6 0.574 0.149 0.633
Ru6 0.858 0.715 0.129
U4 0.830 0.660 0.805
P7 0.227 0.454 0.752
Ru7 0.641 0.282 0.489
Ru8 0.659 0.317 0.769
P8 0.426 0.851 0.133
P9 0.773 0.546 0.252
U5 0.170 0.340 0.305
Ru9 0.449 0.898 0.678
U6 0.992 0.983 0.996
Ru10 0.698 0.397 0.116
U7 0.027 0.054 0.772
P10 0.414 0.828 0.405
U8 0.186 0.372 0.945
P11 0.569 0.139 0.354
P12 0.431 0.861 0.854
```

Entry 12:
UPRu | PBE | optimized geometry

Values from the calculation:
For the formation energy from the elements, the calculation gives -0.7267 eV per atom. The total energy comes out at -9.38 eV/atom. The value obtained for the density of states at the Fermi level is 30.3 states/eV/cell.

Structure (CIF):
```
data_UPRu
_space_group_name_H-M_alt 'P 1'
_space_group_IT_number 1
_cell_length_a 4.041
_cell_length_b 6.705
_cell_length_c 11.264
_cell_angle_alpha 92.78
_cell_angle_beta 90.00
_cell_angle_gamma 90.00
loop_
_space_group_symop_operation_xyz
'x,y,z'
loop_
_atom_site_label
_atom_site_fract_x
_atom_site_fract_y
_atom_site_fract_z
P1 0.750 0.296 0.755
U1 0.250 0.498 0.634
Ru1 0.250 0.849 0.455
P2 0.250 0.704 0.245
P3 0.250 0.772 0.894
U2 0.750 0.659 0.064
Ru2 0.250 0.337 0.211
U3 0.250 0.015 0.700
Ru3 0.750 0.046 0.911
Ru4 0.750 0.151 0.545
Ru5 0.750 0.663 0.789
P4 0.250 0.227 0.428
U4 0.250 0.341 0.936
Ru6 0.250 0.954 0.089
P5 0.750 0.228 0.106
U5 0.750 0.985 0.300
P6 0.750 0.773 0.572
U6 0.750 0.502 0.366
```

Q: Look up the formation energy from the elements of the eleventh one.
A: -0.7305 eV per atom